## Dy6MgS8 (PBE)

Data for crystalline Dy6MgS8 at its relaxed geometry.

a b c (Å): 10.9921 10.9921 10.9921
angles (deg): 90.00 90.00 90.00
Closest atoms and distances in Å follow each position.
Space group Fm-3m (No. 225)
Asymmetric unit:
Dy 0.0000 0.2500 0.2500  6 S 2.75
Mg 0.0000 0.0000 0.0000  6 S 2.65
S 0.0000 0.0000 0.2412  1 Mg 2.65, 4 Dy 2.75
S 0.2500 0.2500 0.2500  6 Dy 2.75

Output
The calculation puts the total energy at -6.13 eV per atom. The volume is 332 Å³/f.u. For the total magnetization, the calculation gives 0.00 μB/f.u.